(1)
VASP calculation (PBE) on a relaxed BeCuAu3 crystal.

Cell: 3.8487 6.9635 5.7254 Å, 90.00 90.00 90.00°
Closest atoms and distances in Å follow each position.
Atoms (fractional coordinates):
Be 0.7500 0.2500 0.0342  1 Cu 2.32, 4 Au 2.51-2.52
Be 0.2500 0.7500 0.9658  1 Cu 2.32, 4 Au 2.51-2.52
Cu 0.7500 0.2500 0.4385  1 Be 2.32
Cu 0.2500 0.7500 0.5615  1 Be 2.32
Au 0.2500 0.4541 0.2201  3 Be 2.52-2.62, 2 Cu 2.70, 2 Au 2.82
Au 0.7500 0.5459 0.7799  3 Be 2.52-2.62, 2 Cu 2.70, 2 Au 2.82
Au 0.2500 0.0459 0.2201  3 Be 2.52-2.62, 2 Cu 2.70, 2 Au 2.82
Au 0.7500 0.9541 0.7799  3 Be 2.52-2.62, 2 Cu 2.70, 2 Au 2.82
Au 0.2500 0.2500 0.7523  2 Be 2.51, 2 Cu 2.63
Au 0.7500 0.7500 0.2477  2 Be 2.51, 2 Cu 2.63

- calculated formation energy (kJ/mol of formula units) = -23.9
- polymorph energy (0 for the lowest one) (meV per atom) = 16

=====

(2)
VASP calculation (PBE) on a relaxed MoPd6Pt crystal.

Cell: 7.0906 7.2370 5.0259 Å, 43.61 44.99 58.93°
Closest atoms and distances in Å follow each position.
Atoms (fractional coordinates):
Mo 0.5000 0.5000 0.5000  12 Pd 2.75-2.87
Pd 0.9978 0.4911 0.7612  2 Pd 2.51-2.52, 2 Pt 2.79-2.80, 2 Mo 2.80-2.81
Pd 0.7506 0.9956 0.7532  2 Pd 2.50-2.51, 1 Mo 2.79
Pd 0.4986 0.2488 0.2762  2 Pd 2.51, 1 Mo 2.75, 2 Pt 2.80-2.81
Pd 0.2494 0.0044 0.2468  2 Pd 2.50-2.51, 1 Mo 2.79
Pd 0.0022 0.5089 0.2388  2 Pd 2.51-2.52, 2 Pt 2.79-2.80, 2 Mo 2.80-2.81
Pd 0.5014 0.7512 0.7238  2 Pd 2.51, 1 Mo 2.75, 2 Pt 2.80-2.81
Pt 0.0000 0.0000 0.0000  12 Pd 2.79-2.81

- calculated formation energy (kJ/mol of formula units) = 66.1
- polymorph energy (0 for the lowest one) (meV per atom) = 144

=====

(3)
VASP calculation (PBE) on a relaxed LaNdHo2S4 crystal.

Cell: 3.9351 7.0745 6.8569 Å, 71.32 90.00 90.00°
Closest atoms and distances in Å follow each position.
Atoms (fractional coordinates):
La 0.5000 0.5000 0.0000  6 S 2.92
Nd 0.0000 0.5000 0.5000  6 S 2.90
Ho 0.0000 0.0000 0.0000  6 S 2.76
Ho 0.5000 0.0000 0.5000  6 S 2.74-2.75
S 0.0000 0.7713 0.7407  3 Ho 2.74-2.76, 1 Nd 2.90, 2 La 2.92
S 0.0000 0.2287 0.2593  3 Ho 2.74-2.76, 1 Nd 2.90, 2 La 2.92
S 0.5000 0.7697 0.2449  3 Ho 2.75-2.76, 2 Nd 2.90, 1 La 2.92
S 0.5000 0.2303 0.7551  3 Ho 2.75-2.76, 2 Nd 2.90, 1 La 2.92

- raw formation energy (eV per atom) = -2.0417

=====

(4)
VASP calculation (PBE) on a relaxed NpUH2 crystal.

Cell: 2.9089 2.9089 6.9424 Å, 77.91 77.91 60.00°
Closest atoms and distances in Å follow each position.
Atoms (fractional coordinates):
Np 0.5000 0.5000 0.5000  6 H 2.41
H 0.2524 0.2524 0.2429  3 U 2.34, 3 Np 2.41
H 0.7476 0.7476 0.7571  3 U 2.34, 3 Np 2.41
U 0.0000 0.0000 0.0000  6 H 2.34

- total energy (eV per atom) = -7.726

=====

(5)
VASP calculation (PBE) on a relaxed BaSc2Cd2 crystal.

Cell: 8.9875 8.9875 3.3587 Å, 90.00 90.00 90.00°
Closest atoms and distances in Å follow each position.
Atoms (fractional coordinates):
Sc 0.3766 0.8766 0.0000  6 Cd 3.11-3.16, 3 Sc 3.14-3.36
Sc 0.8766 0.6234 0.0000  6 Cd 3.11-3.16, 3 Sc 3.14-3.36
Sc 0.6234 0.1234 0.0000  6 Cd 3.11-3.16, 3 Sc 3.14-3.36
Sc 0.1234 0.3766 0.0000  6 Cd 3.11-3.16, 3 Sc 3.14-3.36
Ba 0.0000 0.0000 0.0000  2 Ba 3.36, 4 Sc 3.56, 8 Cd 3.73
Ba 0.5000 0.5000 0.0000  2 Ba 3.36, 4 Sc 3.56, 8 Cd 3.73
Cd 0.1706 0.6706 0.5000  6 Sc 3.11-3.16, 2 Cd 3.36
Cd 0.6706 0.8294 0.5000  6 Sc 3.11-3.16, 2 Cd 3.36
Cd 0.8294 0.3294 0.5000  6 Sc 3.11-3.16, 2 Cd 3.36
Cd 0.3294 0.1706 0.5000  6 Sc 3.11-3.16, 2 Cd 3.36

- calculated formation energy (kJ/mol of formula units) = -48.7
- polymorph energy (0 for the lowest one) (meV per atom) = 0

=====

(6)
VASP calculation (PBE) on a relaxed La2GaNi2 crystal.

Cell: 5.5221 5.5221 5.3760 Å, 59.10 59.10 90.00°
Closest atoms and distances in Å follow each position.
Atoms (fractional coordinates):
Ni 0.3414 0.3414 0.3171  1 Ni 2.34, 1 Ga 2.52
Ni 0.6586 0.6586 0.6829  1 Ni 2.34, 1 Ga 2.52
Ga 0.0000 0.0000 0.0000  2 Ni 2.52
La 0.7500 0.2500 0.5000  4 Ni 2.84
La 0.2500 0.7500 0.5000  4 Ni 2.84

- calculated formation energy (kJ/mol of formula units) = -164.5

=====

(7)
VASP calculation (PBE) on a relaxed Na3Cd7Hg2 crystal.

Cell: 5.9872 5.9872 10.4878 Å, 73.41 73.41 60.00°
Closest atoms and distances in Å follow each position.
Atoms (fractional coordinates):
Na 0.0000 0.0000 0.0000  6 Hg 3.46
Na 0.8560 0.8560 0.4319  12 Cd 3.45-3.52, 3 Na 3.71
Na 0.1440 0.1440 0.5681  12 Cd 3.45-3.52, 3 Na 3.71
Cd 0.5000 0.5000 0.5000  6 Cd 2.96
Cd 0.9199 0.4104 0.2592  5 Cd 2.94-3.05, 2 Hg 3.09-3.10
Cd 0.4104 0.9199 0.2592  5 Cd 2.94-3.05, 2 Hg 3.09-3.10
Cd 0.4104 0.4104 0.2592  5 Cd 2.94-3.05, 2 Hg 3.09-3.10
Cd 0.0801 0.5896 0.7408  5 Cd 2.94-3.05, 2 Hg 3.09-3.10
Cd 0.5896 0.5896 0.7408  5 Cd 2.94-3.05, 2 Hg 3.09-3.10
Cd 0.5896 0.0801 0.7408  5 Cd 2.94-3.05, 2 Hg 3.09-3.10
Hg 0.6657 0.6657 0.0030  6 Cd 3.09-3.10, 3 Na 3.46, 3 Hg 3.46
Hg 0.3343 0.3343 0.9970  6 Cd 3.09-3.10, 3 Na 3.46, 3 Hg 3.46

- calculated formation energy (kJ/mol of formula units) = -106.2

=====

(8)
VASP calculation (PBE) on a relaxed Na2NpI4 crystal.

Cell: 6.2256 6.2256 9.2319 Å, 70.30 70.30 90.00°
Closest atoms and distances in Å follow each position.
Atoms (fractional coordinates):
Np 0.0000 0.0000 0.0000  6 I 3.10-3.11
I 0.8087 0.8087 0.3826  1 Na 3.01, 1 Np 3.10
I 0.1913 0.1913 0.6174  1 Na 3.01, 1 Np 3.10
I 0.0000 0.5000 0.0000  2 Np 3.11
I 0.5000 0.0000 0.0000  2 Np 3.11
Na 0.6233 0.6233 0.7534  1 I 3.01
Na 0.3767 0.3767 0.2466  1 I 3.01

- raw formation energy (eV per atom) = -0.7844